Below is a geometry-optimized ZrMn2Si2 structure, with properties calculated at the GGA-PBE level.

Formation energy (no corrections): -1.85 eV/f.u.
Volume: 13.9 Å³ per atom
Energy: -7.92 eV per atom
Total magnetization: 3.59 μB per formula unit

abc: 7.167 7.167 2.711
angles: 90.00 90.00 90.00
Space group P4/mbm (No. 127)
Inequivalent atoms, fractional coordinates:
Zr 0.000 0.000 0.000 (multiplicity 2)
Mn 0.142 0.358 0.500 (multiplicity 4)
Si 0.145 0.645 0.000 (multiplicity 4)